1.
The following is a PBE calculation of HoAgSb after structural relaxation, from the Open Quantum Materials Database.

- Magnetization: 0.0 μB per formula unit
- Final energy: -12.6 eV for the cell shown
- Crystal system: cubic

Cell and atoms, written as POSCAR:
```
HoAgSb
1.0
0.000 3.493 3.493
3.493 0.000 3.493
3.493 3.493 0.000
Ho Ag Sb
1 1 1
direct
0.000 0.000 0.000
0.750 0.750 0.750
0.250 0.250 0.250
```

***

2.
The following is a PBE calculation of HoAgSb after structural relaxation, from the Open Quantum Materials Database.

- Magnetization: 0.0 μB per formula unit
- Final energy: -12.9 eV for the cell shown
- Crystal system: cubic

Cell and atoms, written as POSCAR:
```
HoAgSb
1.0
0.000 3.372 3.372
3.372 0.000 3.372
3.372 3.372 0.000
Ho Ag Sb
1 1 1
direct
0.000 0.000 0.000
0.250 0.250 0.250
0.500 0.500 0.500
```

***

3.
The following is a PBE calculation of HoScAg4 after structural relaxation, from the Open Quantum Materials Database.

- Magnetization: 0.0 μB per formula unit
- Final energy: -24.1 eV for the cell shown
- Crystal system: tetragonal
- E_form: -182 kJ/mol of formula units

Cell and atoms, written as POSCAR:
```
HoScAg4
1.0
3.632 0.000 0.000
0.000 3.632 0.000
0.000 0.000 9.073
Ho Sc Ag
1 1 4
direct
0.000 0.000 0.000
0.500 0.500 0.500
0.000 0.000 0.340
0.000 0.000 0.660
0.500 0.500 0.176
0.500 0.500 0.824
```

***

4.
The following is a PBE calculation of HoScAg2Sn2 after structural relaxation, from the Open Quantum Materials Database.

- Magnetization: 0.0 μB per formula unit
- Final energy: -27.7 eV for the cell shown
- Crystal system: trigonal

Cell and atoms, written as POSCAR:
```
HoScAg2Sn2
1.0
4.661 0.000 0.000
-2.331 4.037 0.000
0.000 0.000 7.137
Ho Sc Ag Sn
1 1 2 2
direct
0.000 0.000 0.000
0.000 0.000 0.501
0.333 0.667 0.684
0.667 0.333 0.193
0.333 0.667 0.286
0.667 0.333 0.773
```

***

5.
The following is a PBE calculation of Ho2AgSe3 after structural relaxation, from the Open Quantum Materials Database.

- Magnetization: 0.0 μB per formula unit
- Final energy: -120.9 eV for the cell shown
- Crystal system: orthorhombic

Cell and atoms, written as POSCAR:
```
Ho2AgSe3
1.0
10.400 0.000 0.000
0.000 3.948 0.000
0.000 0.000 13.571
Ho Ag Se
8 4 12
direct
0.017 0.250 0.247
0.225 0.750 0.525
0.275 0.250 0.025
0.483 0.750 0.747
0.517 0.250 0.253
0.725 0.750 0.975
0.775 0.250 0.475
0.983 0.750 0.753
0.234 0.250 0.732
0.266 0.750 0.232
0.734 0.250 0.768
0.766 0.750 0.268
0.041 0.250 0.602
0.084 0.750 0.099
0.236 0.750 0.865
0.264 0.250 0.365
0.416 0.250 0.599
0.459 0.750 0.102
0.541 0.250 0.898
0.584 0.750 0.401
0.736 0.750 0.635
0.764 0.250 0.135
0.916 0.250 0.901
0.959 0.750 0.398
```

***

6.
The following is a PBE calculation of HoAgSe2 after structural relaxation, from the Open Quantum Materials Database.

- Magnetization: 0.0 μB per formula unit
- Final energy: -76.9 eV for the cell shown
- Crystal system: orthorhombic

Cell and atoms, written as POSCAR:
```
HoAgSe2
1.0
4.240 0.000 0.000
0.000 6.808 0.000
0.000 0.000 13.764
Ho Ag Se
4 4 8
direct
0.221 0.207 0.127
0.279 0.793 0.627
0.721 0.293 0.873
0.779 0.707 0.373
0.004 0.705 0.126
0.496 0.295 0.626
0.504 0.795 0.874
0.996 0.205 0.374
0.222 0.089 0.773
0.229 0.490 0.973
0.271 0.510 0.473
0.278 0.911 0.273
0.722 0.411 0.227
0.729 0.010 0.027
0.771 0.990 0.527
0.778 0.589 0.727
```

***

7.
The following is a PBE calculation of SrHoAgSe3 after structural relaxation, from the Open Quantum Materials Database.

- Magnetization: 0.0 μB per formula unit
- Final energy: -57.2 eV for the cell shown
- Crystal system: monoclinic

Cell and atoms, written as POSCAR:
```
SrHoAgSe3
1.0
7.947 0.000 0.000
0.000 4.130 0.000
-2.781 0.000 9.567
Sr Ho Ag Se
2 2 2 6
direct
0.248 0.250 0.209
0.752 0.750 0.791
0.194 0.750 0.657
0.806 0.250 0.343
0.410 0.250 0.907
0.590 0.750 0.093
0.064 0.750 0.359
0.213 0.750 0.956
0.441 0.250 0.650
0.559 0.750 0.350
0.787 0.250 0.044
0.936 0.250 0.641
```

***

8.
The following is a PBE calculation of SrHoAgSe3 after structural relaxation, from the Open Quantum Materials Database.

- Magnetization: 0.0 μB per formula unit
- Final energy: -57.1 eV for the cell shown
- Crystal system: monoclinic

Cell and atoms, written as POSCAR:
```
SrHoAgSe3
1.0
9.039 -2.060 0.000
9.039 2.060 0.000
-1.926 0.000 8.420
Sr Ho Ag Se
2 2 2 6
direct
0.131 0.131 0.074
0.869 0.869 0.926
0.166 0.166 0.590
0.834 0.834 0.410
0.470 0.470 0.288
0.530 0.530 0.712
0.000 0.000 0.500
0.316 0.316 0.174
0.328 0.328 0.637
0.500 0.500 0.000
0.672 0.672 0.363
0.684 0.684 0.826
```

***

9.
The following is a PBE calculation of SrHoAgTeSe2 after structural relaxation, from the Open Quantum Materials Database.

- Magnetization: 0.0 μB per formula unit
- Final energy: -54.9 eV for the cell shown
- Crystal system: orthorhombic

Cell and atoms, written as POSCAR:
```
SrHoAgTeSe2
1.0
2.080 -7.280 0.000
2.080 7.280 0.000
0.000 0.000 11.003
Sr Ho Ag Te Se
2 2 2 2 4
direct
0.221 0.779 0.750
0.779 0.221 0.250
0.000 0.000 0.000
0.000 0.000 0.500
0.476 0.524 0.250
0.524 0.476 0.750
0.102 0.898 0.250
0.898 0.102 0.750
0.368 0.632 0.059
0.368 0.632 0.441
0.632 0.368 0.559
0.632 0.368 0.941
```

***

10.
The following is a PBE calculation of Ho2Ag2Te3Se after structural relaxation, from the Open Quantum Materials Database.

- Magnetization: 0.0 μB per formula unit
- Final energy: -35.6 eV for the cell shown
- Crystal system: monoclinic

Cell and atoms, written as POSCAR:
```
Ho2Ag2Te3Se
1.0
4.855 -5.057 0.000
4.855 5.057 0.000
-0.039 0.000 4.585
Ho Ag Te Se
2 2 3 1
direct
0.000 0.000 0.000
0.528 0.528 0.387
0.010 0.507 0.176
0.507 0.010 0.176
0.213 0.805 0.487
0.310 0.310 0.900
0.805 0.213 0.487
0.711 0.711 0.911
```

***

11.
The following is a PBE calculation of HoTlAgSe3 after structural relaxation, from the Open Quantum Materials Database.

- Magnetization: 0.0 μB per formula unit
- Final energy: -50.9 eV for the cell shown
- Crystal system: orthorhombic

Cell and atoms, written as POSCAR:
```
HoTlAgSe3
1.0
2.033 -7.180 0.000
2.033 7.180 0.000
0.000 0.000 10.886
Ho Tl Ag Se
2 2 2 6
direct
0.000 0.000 0.000
0.000 0.000 0.500
0.245 0.755 0.750
0.755 0.245 0.250
0.460 0.540 0.250
0.540 0.460 0.750
0.077 0.923 0.250
0.364 0.636 0.046
0.364 0.636 0.454
0.636 0.364 0.546
0.636 0.364 0.954
0.923 0.077 0.750
```

***

12.
The following is a PBE calculation of HoTmAg2Se4 after structural relaxation, from the Open Quantum Materials Database.

- Magnetization: 0.0 μB per formula unit
- Final energy: -38.4 eV for the cell shown
- Crystal system: orthorhombic

Cell and atoms, written as POSCAR:
```
HoTmAg2Se4
1.0
4.756 -4.761 0.000
4.756 4.761 0.000
0.000 0.000 4.281
Ho Tm Ag Se
1 1 2 4
direct
0.000 0.000 0.000
0.500 0.500 0.591
0.000 0.500 0.796
0.500 0.000 0.796
0.203 0.203 0.511
0.300 0.700 0.080
0.700 0.300 0.080
0.797 0.797 0.511
```

***

13.
The following is a PBE calculation of YHoAg2Se4 after structural relaxation, from the Open Quantum Materials Database.

- Magnetization: 0.0 μB per formula unit
- Final energy: -40.4 eV for the cell shown
- Crystal system: orthorhombic

Cell and atoms, written as POSCAR:
```
YHoAg2Se4
1.0
4.775 -4.779 0.000
4.775 4.779 0.000
0.000 0.000 4.309
Y Ho Ag Se
1 1 2 4
direct
0.000 0.000 0.000
0.500 0.500 0.591
0.000 0.500 0.795
0.500 0.000 0.795
0.203 0.203 0.512
0.299 0.701 0.079
0.701 0.299 0.079
0.797 0.797 0.512
```

***

14.
The following is a PBE calculation of YHo2Si4Ag4 after structural relaxation, from the Open Quantum Materials Database.

- Magnetization: 0.0 μB per formula unit
- Final energy: -53.5 eV for the cell shown
- Crystal system: orthorhombic

Cell and atoms, written as POSCAR:
```
YHo2Si4Ag4
1.0
-2.011 2.104 12.836
2.011 -2.104 12.836
2.011 2.104 -12.836
Y Ho Si Ag
1 2 4 4
direct
0.000 0.000 0.000
0.352 0.852 0.500
0.648 0.148 0.500
0.188 0.688 0.500
0.455 0.455 0.000
0.545 0.545 0.000
0.812 0.312 0.500
0.094 0.594 0.500
0.252 0.252 0.000
0.748 0.748 0.000
0.906 0.406 0.500
```

***

15.
The following is a PBE calculation of SmHoAg after structural relaxation, from the Open Quantum Materials Database.

- Magnetization: 0.0 μB per formula unit
- Final energy: -10.4 eV for the cell shown
- Crystal system: cubic
- E_form: 163 kJ/mol of formula units

Cell and atoms, written as POSCAR:
```
SmHoAg
1.0
0.000 3.497 3.497
3.497 0.000 3.497
3.497 3.497 0.000
Sm Ho Ag
1 1 1
direct
0.000 0.000 0.000
0.250 0.250 0.250
0.750 0.750 0.750
```

***

16.
The following is a PBE calculation of SmHo4Ag5 after structural relaxation, from the Open Quantum Materials Database.

- Magnetization: 0.0 μB per formula unit
- Final energy: -40.5 eV for the cell shown
- Crystal system: tetragonal
- E_form: -320 kJ/mol of formula units

Cell and atoms, written as POSCAR:
```
SmHo4Ag5
1.0
3.617 0.000 0.000
0.000 3.617 0.000
0.000 0.000 18.196
Sm Ho Ag
1 4 5
direct
0.000 0.000 0.000
0.000 0.000 0.204
0.000 0.000 0.401
0.000 0.000 0.599
0.000 0.000 0.796
0.500 0.500 0.107
0.500 0.500 0.302
0.500 0.500 0.500
0.500 0.500 0.698
0.500 0.500 0.893
```

***

17.
The following is a PBE calculation of SmHoAg2Sn2 after structural relaxation, from the Open Quantum Materials Database.

- Magnetization: 0.0 μB per formula unit
- Final energy: -26.6 eV for the cell shown
- Crystal system: trigonal

Cell and atoms, written as POSCAR:
```
SmHoAg2Sn2
1.0
4.745 0.000 0.000
-2.373 4.110 0.000
0.000 0.000 7.408
Sm Ho Ag Sn
1 1 2 2
direct
0.000 0.000 0.000
0.000 0.000 0.501
0.333 0.667 0.687
0.667 0.333 0.199
0.333 0.667 0.283
0.667 0.333 0.776
```

***

18.
The following is a PBE calculation of SmHo2Ag4Sn4 after structural relaxation, from the Open Quantum Materials Database.

- Magnetization: 0.0 μB per formula unit
- Final energy: -46.6 eV for the cell shown
- Crystal system: orthorhombic

Cell and atoms, written as POSCAR:
```
SmHo2Ag4Sn4
1.0
-2.270 3.705 7.646
2.270 -3.705 7.646
2.270 3.705 -7.646
Sm Ho Ag Sn
1 2 4 4
direct
0.000 0.000 0.000
0.372 0.872 0.500
0.628 0.128 0.500
0.026 0.330 0.697
0.367 0.670 0.697
0.633 0.330 0.303
0.974 0.670 0.303
0.218 0.218 0.000
0.307 0.500 0.807
0.693 0.500 0.193
0.782 0.782 0.000
```

***

19.
The following is a PBE calculation of HoAgSn after structural relaxation, from the Open Quantum Materials Database.

- Magnetization: 0.0 μB per formula unit
- Final energy: -26.3 eV for the cell shown
- Crystal system: hexagonal

Cell and atoms, written as POSCAR:
```
HoAgSn
1.0
4.727 0.000 0.000
-2.363 4.093 0.000
0.000 0.000 7.356
Ho Ag Sn
2 2 2
direct
0.000 0.000 0.000
0.000 0.000 0.500
0.333 0.667 0.313
0.667 0.333 0.813
0.333 0.667 0.720
0.667 0.333 0.220
```

***

20.
The following is a PBE calculation of HoAgSn after structural relaxation, from the Open Quantum Materials Database.

- Magnetization: 0.0 μB per formula unit
- Final energy: -12.5 eV for the cell shown
- Crystal system: cubic

Cell and atoms, written as POSCAR:
```
HoAgSn
1.0
0.000 3.434 3.434
3.434 0.000 3.434
3.434 3.434 0.000
Ho Ag Sn
1 1 1
direct
0.000 0.000 0.000
0.500 0.500 0.500
0.750 0.750 0.750
```